TbNdDy2Tl4, relaxed, DFT PBE; space-group type = R-3m (166); total magnetic moment = 0.00 Bohr magnetons per cell; DFT formation energy = -33.97 kJ/mol of atoms
1.0
5.4099 0.0000 0.0000
2.7049 4.6851 0.0000
2.7049 1.5617 8.8528
Tb Nd Dy Tl
1 1 2 4
Direct
0.5000 0.5000 0.5000 Tb
0.0000 0.0000 0.0000 Nd
0.7504 0.7504 0.7489 Dy
0.2496 0.2496 0.2511 Dy
0.3763 0.3763 0.8712 Tl
0.8738 0.8738 0.3786 Tl
0.1262 0.1262 0.6214 Tl
0.6237 0.6237 0.1288 Tl